Material: SmTlO3
Method: DFT, PBE
State: optimized geometry

a b c (Å): 5.9627 5.9627 15.6435
angles (deg): 90.00 90.00 120.00
Closest atoms and distances in Å follow each position.
Space group R-3c (No. 167, hexagonal axes)
Asymmetric unit:
1 Sm 0.0000 0.0000 0.0000 (multiplicity 6)  6 O 2.33
2 Tl 0.0000 0.0000 0.2500 (multiplicity 6)  3 O 2.12
3 O 0.0000 0.3550 0.2500 (multiplicity 18)  1 Tl 2.12, 2 Sm 2.33

Calculated values
- total energy (eV per cell) = -190.3
- V (Å³ per atom) = 16.06